No. 1
## LiReRh2 (GGA-PBE)

Data for LiReRh2 after structural relaxation.

Lattice parameters (Å, degrees): 2.7173 4.0155 5.0962 90.00 90.00 90.00
Fractional coordinates of all 4 atoms:
Li (0.0000, 0.0000, 0.0000)
Re (0.5000, 0.5000, 0.2870)
Rh (0.0000, 0.0000, 0.4985)
Rh (0.5000, 0.5000, 0.8126)

**Energy of formation from the pure elements**: -0.010 eV/atom
**DOS(E_F)**: 0.706 states/eV/atom
**M_tot**: 0.00 μB/cell

***

No. 2
## Tl2In9Pb (GGA-PBE)

Data for Tl2In9Pb after structural relaxation.

Lattice parameters (Å, degrees): 5.1666 5.1666 12.7962 90.00 90.00 90.00
Fractional coordinates of all 12 atoms:
Tl (0.0000, 0.0000, 0.1657)
Tl (0.0000, 0.0000, 0.8343)
In (0.0000, 0.5000, 0.0000)
In (0.0000, 0.5000, 0.3334)
In (0.0000, 0.5000, 0.6666)
In (0.5000, 0.0000, 0.0000)
In (0.5000, 0.0000, 0.3334)
In (0.5000, 0.0000, 0.6666)
In (0.5000, 0.5000, 0.1688)
In (0.5000, 0.5000, 0.5000)
In (0.5000, 0.5000, 0.8312)
Pb (0.0000, 0.0000, 0.5000)

**Energy of formation from the pure elements**: 0.025 eV/atom
**DOS(E_F)**: 0.418 states/eV/atom
**M_tot**: 0.00 μB/cell

***

No. 3
## PmTmLuPu (GGA-PBE)

Data for PmTmLuPu after structural relaxation.

Lattice parameters (Å, degrees): 5.5631 5.5631 5.5631 60.00 60.00 60.00
Fractional coordinates of all 4 atoms:
Pm (0.0000, 0.0000, 0.0000)
Tm (0.5000, 0.5000, 0.5000)
Lu (0.7500, 0.7500, 0.7500)
Pu (0.2500, 0.2500, 0.2500)

**Energy of formation from the pure elements**: 0.194 eV/atom
**DOS(E_F)**: 2.649 states/eV/atom
**M_tot**: 7.29 μB/cell

***

No. 4
## Tm2LuPa (GGA-PBE)

Data for Tm2LuPa after structural relaxation.

Lattice parameters (Å, degrees): 3.3776 3.3776 9.9907 90.00 90.00 90.00
Fractional coordinates of all 4 atoms:
Tm (0.0000, 0.0000, 0.2377)
Tm (0.0000, 0.0000, 0.7623)
Lu (0.5000, 0.5000, 0.5000)
Pa (0.5000, 0.5000, 0.0000)

**Energy of formation from the pure elements**: 0.117 eV/atom
**Energy relative to the lowest polymorph listed for this composition**: 0.00 eV per formula unit
**DOS(E_F)**: 1.495 states/eV/atom
**M_tot**: 0.18 μB/cell

***

No. 5
## Na2PuTl9 (GGA-PBE)

Data for Na2PuTl9 after structural relaxation.

Lattice parameters (Å, degrees): 4.8474 4.8474 14.5797 90.00 90.00 90.00
Fractional coordinates of all 12 atoms:
Na (0.0000, 0.0000, 0.1707)
Na (0.0000, 0.0000, 0.8293)
Pu (0.0000, 0.0000, 0.5000)
Tl (0.0000, 0.5000, 0.0000)
Tl (0.0000, 0.5000, 0.3347)
Tl (0.0000, 0.5000, 0.6653)
Tl (0.5000, 0.0000, 0.0000)
Tl (0.5000, 0.0000, 0.3347)
Tl (0.5000, 0.0000, 0.6653)
Tl (0.5000, 0.5000, 0.1703)
Tl (0.5000, 0.5000, 0.5000)
Tl (0.5000, 0.5000, 0.8297)

**Energy of formation from the pure elements**: -0.037 eV/atom
**DOS(E_F)**: 1.666 states/eV/atom
**M_tot**: 6.11 μB/cell

***

No. 6
## KTa2PAu (GGA-PBE)

Data for KTa2PAu after structural relaxation.

Lattice parameters (Å, degrees): 4.6517 4.6517 5.5391 90.00 90.00 90.00
Fractional coordinates of all 5 atoms:
K (0.0000, 0.0000, 0.0000)
Ta (0.0000, 0.5000, 0.5000)
Ta (0.5000, 0.0000, 0.5000)
P (0.0000, 0.0000, 0.5000)
Au (0.5000, 0.5000, 0.0000)

**Energy of formation from the pure elements**: 0.762 eV/atom
**DOS(E_F)**: 0.912 states/eV/atom
**M_tot**: 0.00 μB/cell

***

No. 7
## Tm8SiSe3S4 (GGA-PBE)

Data for Tm8SiSe3S4 after structural relaxation.

Lattice parameters (Å, degrees): 7.8894 7.8894 7.8894 59.96 59.96 59.96
Fractional coordinates of all 16 atoms:
Tm (0.2327, 0.7530, 0.7530)
Tm (0.2414, 0.2414, 0.2414)
Tm (0.2470, 0.2470, 0.7673)
Tm (0.2470, 0.7673, 0.2470)
Tm (0.7530, 0.2327, 0.7530)
Tm (0.7530, 0.7530, 0.2327)
Tm (0.7586, 0.7586, 0.7586)
Tm (0.7673, 0.2470, 0.2470)
Si (0.0000, 0.0000, 0.0000)
Se (0.0000, 0.5000, 0.5000)
Se (0.5000, 0.0000, 0.5000)
Se (0.5000, 0.5000, 0.0000)
S (0.0000, 0.0000, 0.5000)
S (0.0000, 0.5000, 0.0000)
S (0.5000, 0.0000, 0.0000)
S (0.5000, 0.5000, 0.5000)

**DOS(E_F)**: 0.349 states/eV/atom
**M_tot**: 0.00 μB/cell
**Formation energy without anion corrections**: -1.72 eV per atom

***

No. 8
## Th6ZnOs2Se3 (GGA-PBE)

Data for Th6ZnOs2Se3 after structural relaxation.

Lattice parameters (Å, degrees): 7.2038 7.2038 7.7141 98.97 98.97 119.93
Fractional coordinates of all 12 atoms:
Th (0.0715, 0.4250, 0.7758)
Th (0.2206, 0.2206, 0.2222)
Th (0.4250, 0.0715, 0.7758)
Th (0.5750, 0.9285, 0.2242)
Th (0.7794, 0.7794, 0.7778)
Th (0.9285, 0.5750, 0.2242)
Zn (0.5000, 0.5000, 0.0000)
Os (0.1675, 0.8325, 0.0000)
Os (0.8325, 0.1675, 0.0000)
Se (0.0000, 0.0000, 0.5000)
Se (0.3390, 0.6610, 0.5000)
Se (0.6610, 0.3390, 0.5000)

**DOS(E_F)**: 0.664 states/eV/atom
**M_tot**: 0.00 μB/cell
**Formation energy without anion corrections**: -0.93 eV per atom

***

Which formula does entry 3 have? PmTmLuPu